Entry 1:
# NaHo2Tl PBE optimized geometry
data_NaHo2Tl
_chemical_formula_sum 'Na1 Ho2 Tl1'
_symmetry_space_group_name_H-M 'P 4/m m m'
_symmetry_Int_Tables_number 123
_symmetry_space_group_name_Hall '-P 4 2'
_cell_length_a 5.064
_cell_length_b 5.064
_cell_length_c 4.323
_cell_angle_alpha 90.00
_cell_angle_beta 90.00
_cell_angle_gamma 90.00
loop_
_atom_site_label
_atom_site_fract_x
_atom_site_fract_y
_atom_site_fract_z
Na1 0.000 0.000 0.000
Ho1 0.000 0.500 0.500
Tl1 0.500 0.500 0.000
# V (Å³ per atom): 27.714
# Total moment (μB/f.u.): 0.0
# Fermi-level density of states (states/eV per atom): 0.593
# DFT total energy (eV per atom): -3.24

---

Entry 2:
# HoPu2ReC4 PBE optimized geometry
data_HoPu2ReC4
_chemical_formula_sum 'Ho4 Pu8 Re4 C16'
_symmetry_space_group_name_H-M 'C m c m'
_symmetry_Int_Tables_number 63
_symmetry_space_group_name_Hall '-C 2c 2'
_cell_length_a 3.450
_cell_length_b 11.592
_cell_length_c 12.389
_cell_angle_alpha 90.00
_cell_angle_beta 90.00
_cell_angle_gamma 90.00
loop_
_atom_site_label
_atom_site_fract_x
_atom_site_fract_y
_atom_site_fract_z
Ho1 0.000 0.109 0.250
Pu1 0.000 0.368 0.036
Re1 0.000 0.156 0.750
C1 0.000 0.000 0.000
C2 0.000 0.261 0.630
C3 0.000 0.439 0.250
# V (Å³ per atom): 15.481
# Total moment (μB/f.u.): 9.3
# Fermi-level density of states (states/eV per atom): 1.545
# DFT total energy (eV per atom): -10.26